{"formula": "TlWAu2O", "functional": "GGA+U", "state": "optimized geometry", "lattice_angstrom": [[5.2581, 0.0000, 0.0000], [0.0000, 5.9456, 0.0000], [0.0000, 0.0000, 5.2581]], "species": ["W", "Tl", "Au", "Au", "O"], "frac_coords": [[0.0000, 0.0000, 0.0000], [0.0000, 0.5000, 0.0000], [0.5000, 0.0000, 0.0000], [0.0000, 0.0000, 0.5000], [0.5000, 0.5000, 0.5000]], "density_g_cm3": 8.06, "space_group": "P4/mmm, No. 123", "final_energy_ev_per_atom": -2.787, "dos_at_fermi_per_ev_fu": 9.1}